No. 1
VASP calculation (PBE) on a geometry-optimized TbGa4Ru2Pt structure.

Output
Fermi-level density of states = 4.7 states/eV/f.u.
energy = -5.6474 eV per atom
formation energy from the elements = -481 meV per atom

The structure in CIF format:
```
data_TbGa4Ru2Pt
_chemical_formula_sum 'Tb3 Ga12 Ru6 Pt3'
_cell_length_a 4.2764
_cell_length_b 4.2764
_cell_length_c 25.5569
_cell_angle_alpha 90.00
_cell_angle_beta 90.00
_cell_angle_gamma 120.00
_space_group_name_H-M_alt 'R -3 m'
_space_group_IT_number 166
_space_group_name_Hall '-R 3 2"'
loop_
_atom_site_label
_atom_site_type_symbol
_atom_site_fract_x
_atom_site_fract_y
_atom_site_fract_z
Tb1 Tb 0.0000 0.0000 0.0000
Ga1 Ga 0.0000 0.0000 0.1279
Ga2 Ga 0.0000 0.0000 0.3972
Ru1 Ru 0.0000 0.0000 0.2340
Pt1 Pt 0.0000 0.0000 0.5000
```

***

No. 2
VASP calculation (PBE) on a geometry-optimized NbBiSeBr2 structure.

Output
Fermi-level density of states = 4.0 states/eV/f.u.
energy = -4.1636 eV per atom
ΔE_f (raw) = -0.0074 eV per atom
E above lowest polymorph = 0 meV per atom

The structure in CIF format:
```
data_NbBiSeBr2
_chemical_formula_sum 'Nb1 Bi1 Se1 Br2'
_cell_length_a 5.273
_cell_length_b 5.273
_cell_length_c 5.132
_cell_angle_alpha 90.00
_cell_angle_beta 90.00
_cell_angle_gamma 90.00
_space_group_name_H-M_alt 'P 4/m m m'
_space_group_IT_number 123
_space_group_name_Hall '-P 4 2'
loop_
_atom_site_label
_atom_site_type_symbol
_atom_site_fract_x
_atom_site_fract_y
_atom_site_fract_z
Nb1 Nb 0.000 0.000 0.000
Bi1 Bi 0.500 0.500 0.500
Se1 Se 0.000 0.000 0.500
Br1 Br 0.000 0.500 0.000
```

***

No. 3
VASP calculation (PBE) on a geometry-optimized Cs3ZnCu2F9 structure.

Output
Fermi-level density of states = 3.3 states/eV/f.u.
energy = -4.0818 eV per atom
ΔE_f (raw) = -2.1572 eV per atom

The structure in CIF format:
```
data_Cs3ZnCu2F9
_chemical_formula_sum 'Cs3 Zn1 Cu2 F9'
_cell_length_a 6.0320
_cell_length_b 6.0320
_cell_length_c 7.3852
_cell_angle_alpha 90.00
_cell_angle_beta 90.00
_cell_angle_gamma 120.00
_space_group_name_H-M_alt 'P -3 m 1'
_space_group_IT_number 164
_space_group_name_Hall '-P 3 2"'
loop_
_atom_site_label
_atom_site_type_symbol
_atom_site_fract_x
_atom_site_fract_y
_atom_site_fract_z
Cs1 Cs 0.0000 0.0000 0.0000
Cs2 Cs 0.3333 0.6667 0.6657
Zn1 Zn 0.0000 0.0000 0.5000
Cu1 Cu 0.3333 0.6667 0.1642
F1 F 0.0000 0.5000 0.0000
F2 F 0.1666 0.3332 0.3324
```

***

No. 4
VASP calculation (PBE) on a geometry-optimized PAu2S structure.

Output
Fermi-level density of states = 4.0 states/eV/f.u.
energy = -3.3593 eV per atom
ΔE_f (raw) = 0.6637 eV per atom
E above lowest polymorph = 454 meV per atom

The structure in CIF format:
```
data_PAu2S
_chemical_formula_sum 'P4 Au8 S4'
_cell_length_a 6.516
_cell_length_b 6.516
_cell_length_c 6.516
_cell_angle_alpha 90.00
_cell_angle_beta 90.00
_cell_angle_gamma 90.00
_space_group_name_H-M_alt 'F m -3 m'
_space_group_IT_number 225
_space_group_name_Hall '-F 4 2 3'
loop_
_atom_site_label
_atom_site_type_symbol
_atom_site_fract_x
_atom_site_fract_y
_atom_site_fract_z
P1 P 0.000 0.000 0.000
Au1 Au 0.250 0.250 0.250
S1 S 0.000 0.000 0.500
```

***

No. 5
VASP calculation (PBE) on a geometry-optimized LaMnPH structure.

Output
Fermi-level density of states = 1.1 states/eV/f.u.
energy = -6.6159 eV per atom

The structure in CIF format:
```
data_LaMnPH
_chemical_formula_sum 'La2 Mn2 P2 H2'
_cell_length_a 3.793
_cell_length_b 3.793
_cell_length_c 8.667
_cell_angle_alpha 90.00
_cell_angle_beta 90.00
_cell_angle_gamma 90.00
_space_group_name_H-M_alt 'P 4/n m m'
_space_group_IT_number 129
loop_
_space_group_symop_operation_xyz
'x,y,z'
'-x,-y,-z'
'-y+1/2,x,z'
'y+1/2,-x,-z'
'-x+1/2,-y+1/2,z'
'x+1/2,y+1/2,-z'
'y,-x+1/2,z'
'-y,x+1/2,-z'
'x+1/2,-y,-z'
'-x+1/2,y,z'
'-y,-x,-z'
'y,x,z'
'-x,y+1/2,-z'
'x,-y+1/2,z'
'y+1/2,x+1/2,-z'
'-y+1/2,-x+1/2,z'
loop_
_atom_site_label
_atom_site_type_symbol
_atom_site_fract_x
_atom_site_fract_y
_atom_site_fract_z
La1 La 0.250 0.250 0.179
Mn1 Mn 0.250 0.750 0.500
P1 P 0.250 0.250 0.654
H1 H 0.250 0.750 0.000
```

***

No. 6
VASP calculation (PBE) on a geometry-optimized Pm3MgTe4 structure.

Output
Fermi-level density of states = 6.5 states/eV/f.u.
energy = -4.7663 eV per atom
ΔE_f (raw) = -1.2147 eV per atom
E above lowest polymorph = 18 meV per atom

The structure in CIF format:
```
data_Pm3MgTe4
_chemical_formula_sum 'Pm6 Mg2 Te8'
_cell_length_a 9.067
_cell_length_b 12.542
_cell_length_c 4.311
_cell_angle_alpha 90.00
_cell_angle_beta 90.00
_cell_angle_gamma 90.00
_space_group_name_H-M_alt 'C m m m'
_space_group_IT_number 65
_space_group_name_Hall '-C 2 2'
loop_
_atom_site_label
_atom_site_type_symbol
_atom_site_fract_x
_atom_site_fract_y
_atom_site_fract_z
Pm1 Pm 0.000 0.000 0.000
Pm2 Pm 0.250 0.250 0.500
Mg1 Mg 0.000 0.500 0.000
Te1 Te 0.000 0.259 0.000
Te2 Te 0.233 0.500 0.500
```

***

No. 7
VASP calculation (PBE) on a geometry-optimized Mg2NiSe structure.

Output
Fermi-level density of states = 1.8 states/eV/f.u.
energy = -3.3834 eV per atom
ΔE_f (raw) = -0.2696 eV per atom

The structure in CIF format:
```
data_Mg2NiSe
_chemical_formula_sum 'Mg4 Ni2 Se2'
_cell_length_a 6.450
_cell_length_b 3.749
_cell_length_c 6.751
_cell_angle_alpha 90.00
_cell_angle_beta 108.87
_cell_angle_gamma 90.00
_space_group_name_H-M_alt 'C 1 2/m 1'
_space_group_IT_number 12
_space_group_name_Hall '-C 2y'
loop_
_atom_site_label
_atom_site_type_symbol
_atom_site_fract_x
_atom_site_fract_y
_atom_site_fract_z
Mg1 Mg 0.248 0.000 0.245
Ni1 Ni 0.000 0.500 0.000
Se1 Se 0.000 0.000 0.500
```

***

No. 8
VASP calculation (PBE) on a geometry-optimized Y5Ag structure.

Output
Fermi-level density of states = 9.3 states/eV/f.u.
energy = -5.8406 eV per atom
formation energy from the elements = 21 meV per atom
E above lowest polymorph = 102 meV per atom

The structure in CIF format:
```
data_Y5Ag
_chemical_formula_sum 'Y10 Ag2'
_cell_length_a 4.712
_cell_length_b 15.168
_cell_length_c 4.935
_cell_angle_alpha 90.00
_cell_angle_beta 90.00
_cell_angle_gamma 90.00
_space_group_name_H-M_alt 'C m m m'
_space_group_IT_number 65
_space_group_name_Hall '-C 2 2'
loop_
_atom_site_label
_atom_site_type_symbol
_atom_site_fract_x
_atom_site_fract_y
_atom_site_fract_z
Y1 Y 0.000 0.000 0.000
Y2 Y 0.000 0.160 0.500
Y3 Y 0.000 0.330 0.000
Ag1 Ag 0.000 0.500 0.500
```

***

No. 9
VASP calculation (PBE) on a geometry-optimized MgAg2Te structure.

Output
Fermi-level density of states = 1.6 states/eV/f.u.
energy = -2.6852 eV per atom
ΔE_f (raw) = -0.0755 eV per atom
E above lowest polymorph = 81 meV per atom

The structure in CIF format:
```
data_MgAg2Te
_chemical_formula_sum 'Mg4 Ag8 Te4'
_cell_length_a 5.762
_cell_length_b 5.935
_cell_length_c 10.692
_cell_angle_alpha 90.00
_cell_angle_beta 90.00
_cell_angle_gamma 90.00
_space_group_name_H-M_alt 'F m m m'
_space_group_IT_number 69
_space_group_name_Hall '-F 2 2'
loop_
_atom_site_label
_atom_site_type_symbol
_atom_site_fract_x
_atom_site_fract_y
_atom_site_fract_z
Mg1 Mg 0.000 0.000 0.000
Ag1 Ag 0.250 0.000 0.250
Te1 Te 0.000 0.000 0.500
```

***

No. 10
VASP calculation (PBE) on a geometry-optimized DyHo2Mg9 structure.

Output
Fermi-level density of states = 10.8 states/eV/f.u.
energy = -2.3671 eV per atom
formation energy from the elements = -25 meV per atom

The structure in CIF format:
```
data_DyHo2Mg9
_chemical_formula_sum 'Dy3 Ho6 Mg27'
_cell_length_a 6.0276
_cell_length_b 6.0276
_cell_length_c 29.0106
_cell_angle_alpha 90.00
_cell_angle_beta 90.00
_cell_angle_gamma 120.00
_space_group_name_H-M_alt 'R -3 m'
_space_group_IT_number 166
_space_group_name_Hall '-R 3 2"'
loop_
_atom_site_label
_atom_site_type_symbol
_atom_site_fract_x
_atom_site_fract_y
_atom_site_fract_z
Dy1 Dy 0.0000 0.0000 0.0000
Ho1 Ho 0.0000 0.0000 0.1431
Mg1 Mg 0.0000 0.0000 0.3341
Mg2 Mg 0.0000 0.0000 0.5000
Mg3 Mg 0.0052 0.5026 0.9158
```

***

No. 11
VASP calculation (PBE) on a geometry-optimized LaAlMo2 structure.

Output
Fermi-level density of states = 3.7 states/eV/f.u.
energy = -7.4413 eV per atom
formation energy from the elements = 142 meV per atom

The structure in CIF format:
```
data_LaAlMo2
_chemical_formula_sum 'La1 Al1 Mo2'
_cell_length_a 3.499
_cell_length_b 3.509
_cell_length_c 6.754
_cell_angle_alpha 90.00
_cell_angle_beta 90.00
_cell_angle_gamma 90.00
_space_group_name_H-M_alt 'P m m m'
_space_group_IT_number 47
_space_group_name_Hall '-P 2 2'
loop_
_atom_site_label
_atom_site_type_symbol
_atom_site_fract_x
_atom_site_fract_y
_atom_site_fract_z
La1 La 0.000 0.000 0.000
Al1 Al 0.000 0.000 0.500
Mo1 Mo 0.500 0.500 0.330
```

***

No. 12
VASP calculation (PBE) on a geometry-optimized KZrTe2I structure.

Output
Fermi-level density of states = 2.0 states/eV/f.u.
energy = -4.3311 eV per atom
ΔE_f (raw) = -0.8353 eV per atom
E above lowest polymorph = 0 meV per atom

The structure in CIF format:
```
data_KZrTe2I
_chemical_formula_sum 'K1 Zr1 Te2 I1'
_cell_length_a 5.660
_cell_length_b 5.660
_cell_length_c 5.974
_cell_angle_alpha 90.00
_cell_angle_beta 90.00
_cell_angle_gamma 90.00
_space_group_name_H-M_alt 'P 4/m m m'
_space_group_IT_number 123
_space_group_name_Hall '-P 4 2'
loop_
_atom_site_label
_atom_site_type_symbol
_atom_site_fract_x
_atom_site_fract_y
_atom_site_fract_z
K1 K 0.000 0.000 0.000
Zr1 Zr 0.500 0.500 0.500
Te1 Te 0.000 0.500 0.500
I1 I 0.500 0.500 0.000
```